Version a
# LaPr5Y3 | the Alexandria database | PBE | relaxed
data_LaPr5Y3
_chemical_formula_sum 'La4 Pr20 Y12'
_cell_length_a 15.5178
_cell_length_b 11.8416
_cell_length_c 10.0445
_cell_angle_alpha 90.00
_cell_angle_beta 129.67
_cell_angle_gamma 90.00
_symmetry_space_group_name_H-M 'C 1 2/m 1'
_symmetry_Int_Tables_number 12
loop_
_symmetry_equiv_pos_as_xyz
'x,y,z'
'-x,-y,-z'
'-x,y,-z'
'x,-y,z'
'x+1/2,y+1/2,z'
'-x+1/2,-y+1/2,-z'
'-x+1/2,y+1/2,-z'
'x+1/2,-y+1/2,z'
loop_
_atom_site_label
_atom_site_fract_x
_atom_site_fract_y
_atom_site_fract_z
_atom_site_occupancy
La1 0.2287 0.0000 0.0567 1
Pr1 0.0000 0.2541 0.0000 1
Pr2 0.1416 0.2516 0.7384 1
Pr3 0.2303 0.5000 0.2316 1
Pr4 0.2501 0.0000 0.4159 1
Y1 0.0000 0.0000 0.0000 1
Y2 0.0000 0.5000 0.5000 1
Y3 0.0039 0.5000 0.8228 1
Y4 0.0131 0.0000 0.3514 1
# D(E_F) in states/eV/atom: 1.633

=====

Version b
# LaPr5Y3 | the Alexandria database | PBE | relaxed
data_LaPr5Y3
_chemical_formula_sum 'La4 Pr20 Y12'
_cell_length_a 18.8933
_cell_length_b 6.5875
_cell_length_c 11.4754
_cell_angle_alpha 90.00
_cell_angle_beta 113.47
_cell_angle_gamma 90.00
_symmetry_space_group_name_H-M 'C 1 2/c 1'
_symmetry_Int_Tables_number 15
loop_
_symmetry_equiv_pos_as_xyz
'x,y,z'
'-x,-y,-z'
'-x,y,-z+1/2'
'x,-y,z+1/2'
'x+1/2,y+1/2,z'
'-x+1/2,-y+1/2,-z'
'-x+1/2,y+1/2,-z+1/2'
'x+1/2,-y+1/2,z+1/2'
loop_
_atom_site_label
_atom_site_fract_x
_atom_site_fract_y
_atom_site_fract_z
_atom_site_occupancy
La1 0.0000 0.1391 0.2500 1
Pr1 0.0000 0.4014 0.7500 1
Pr2 0.1686 0.1766 0.8644 1
Pr3 0.1691 0.2982 0.2096 1
Y1 0.0000 0.0000 0.0000 1
Y2 0.1608 0.2999 0.5147 1
# D(E_F) in states/eV/atom: 1.558

=====

Which one sits at the bottom of the stability order? version a does.

=====

Version a
# La2Pr7Y3 | the Alexandria database | PBE | relaxed
data_La2Pr7Y3
_chemical_formula_sum 'La2 Pr7 Y3'
_cell_length_a 6.0356
_cell_length_b 3.6851
_cell_length_c 19.3344
_cell_angle_alpha 90.00
_cell_angle_beta 93.70
_cell_angle_gamma 90.00
_symmetry_space_group_name_H-M 'P 1 2/m 1'
_symmetry_Int_Tables_number 10
loop_
_symmetry_equiv_pos_as_xyz
'x,y,z'
'-x,-y,-z'
'-x,y,-z'
'x,-y,z'
loop_
_atom_site_label
_atom_site_fract_x
_atom_site_fract_y
_atom_site_fract_z
_atom_site_occupancy
La1 0.2064 0.0000 0.2984 1
Pr1 0.1801 0.5000 0.1440 1
Pr2 0.2423 0.0000 0.4646 1
Pr3 0.3188 0.0000 0.8217 1
Pr4 0.5000 0.5000 0.0000 1
Y1 0.0000 0.0000 0.0000 1
Y2 0.2807 0.5000 0.6310 1
# D(E_F) in states/eV/atom: 1.489

=====

Version b
# La2Pr7Y3 | the Alexandria database | PBE | relaxed
data_La2Pr7Y3
_chemical_formula_sum 'La2 Pr7 Y3'
_cell_length_a 6.5856
_cell_length_b 3.6213
_cell_length_c 17.9585
_cell_angle_alpha 90.00
_cell_angle_beta 95.71
_cell_angle_gamma 90.00
_symmetry_space_group_name_H-M 'P 1 2/m 1'
_symmetry_Int_Tables_number 10
loop_
_symmetry_equiv_pos_as_xyz
'x,y,z'
'-x,-y,-z'
'-x,y,-z'
'x,-y,z'
loop_
_atom_site_label
_atom_site_fract_x
_atom_site_fract_y
_atom_site_fract_z
_atom_site_occupancy
La1 0.0561 0.0000 0.1693 1
Pr1 0.0000 0.5000 0.5000 1
Pr2 0.2288 0.0000 0.6689 1
Pr3 0.2581 0.0000 0.9959 1
Pr4 0.2779 0.5000 0.3356 1
Y1 0.4561 0.5000 0.8409 1
Y2 0.5000 0.0000 0.5000 1
# D(E_F) in states/eV/atom: 1.629

=====

Which one sits at the bottom of the stability order? version a does.

=====

Version a
# La3Pr8Y2 | the Alexandria database | PBE | relaxed
data_La3Pr8Y2
_chemical_formula_sum 'La6 Pr16 Y4'
_cell_length_a 13.5288
_cell_length_b 12.0240
_cell_length_c 6.2930
_cell_angle_alpha 90.00
_cell_angle_beta 112.73
_cell_angle_gamma 90.00
_symmetry_space_group_name_H-M 'C 1 2/m 1'
_symmetry_Int_Tables_number 12
loop_
_symmetry_equiv_pos_as_xyz
'x,y,z'
'-x,-y,-z'
'-x,y,-z'
'x,-y,z'
'x+1/2,y+1/2,z'
'-x+1/2,-y+1/2,-z'
'-x+1/2,y+1/2,-z'
'x+1/2,-y+1/2,z'
loop_
_atom_site_label
_atom_site_fract_x
_atom_site_fract_y
_atom_site_fract_z
_atom_site_occupancy
La1 0.0000 0.0000 0.0000 1
La2 0.0000 0.2391 0.5000 1
Pr1 0.0588 0.5000 0.2909 1
Pr2 0.1572 0.0000 0.5440 1
Pr3 0.1752 0.2556 0.1771 1
Y1 0.2095 0.5000 0.8650 1
# D(E_F) in states/eV/atom: 1.852

=====

Version b
# La3Pr8Y2 | the Alexandria database | PBE | relaxed
data_La3Pr8Y2
_chemical_formula_sum 'La6 Pr16 Y4'
_cell_length_a 20.9017
_cell_length_b 7.7952
_cell_length_c 5.8791
_cell_angle_alpha 90.00
_cell_angle_beta 90.06
_cell_angle_gamma 90.00
_symmetry_space_group_name_H-M 'C 1 2/m 1'
_symmetry_Int_Tables_number 12
loop_
_symmetry_equiv_pos_as_xyz
'x,y,z'
'-x,-y,-z'
'-x,y,-z'
'x,-y,z'
'x+1/2,y+1/2,z'
'-x+1/2,-y+1/2,-z'
'-x+1/2,y+1/2,-z'
'x+1/2,-y+1/2,z'
loop_
_atom_site_label
_atom_site_fract_x
_atom_site_fract_y
_atom_site_fract_z
_atom_site_occupancy
La1 0.0000 0.0000 0.0000 1
La2 0.0000 0.2910 0.5000 1
Pr1 0.1082 0.2915 0.9998 1
Pr2 0.1352 0.0000 0.4985 1
Pr3 0.1759 0.5000 0.5013 1
Y1 0.2412 0.0000 0.9979 1
# D(E_F) in states/eV/atom: 1.643

=====

Which one sits at the bottom of the stability order? version b does.